! MoP2Cl (PBEsol, relaxed); values from VASP
! E above lowest polymorph in meV/atom: 0
! Symmetry: No. 44
! Formation energy without anion corrections in meV per atom: -191
&SYSTEM
  ibrav = 0, nat = 4, ntyp = 3
/
ATOMIC_SPECIES
Mo 95.94 Mo.upf
P 30.97 P.upf
Cl 35.45 Cl.upf
CELL_PARAMETERS angstrom
-1.5847 1.6740 6.8527
1.5847 -1.6740 6.8527
1.5847 1.6740 -6.8527
ATOMIC_POSITIONS crystal
Mo 0.0000 0.0000 0.0000
P 0.4432 0.4432 0.0000
P 0.8378 0.3378 0.5000
Cl 0.1411 0.6411 0.5000